[1]
A plane-wave DFT calculation with GGA-PBE was carried out for an optimized crystal structure of TbAl2GaS6.

Structure (POSCAR):
```
TbAl2GaS6
1.0
6.3908 -5.4316 0.0000
6.3908 5.4316 0.0000
-2.7939 0.0000 6.4782
Tb Al Ga S
2 4 2 12
Direct
0.1593 0.8407 0.7500
0.8407 0.1593 0.2500
0.2516 0.3741 0.8005
0.3741 0.2516 0.3005
0.6259 0.7484 0.6995
0.7484 0.6259 0.1995
0.1917 0.8083 0.2500
0.8083 0.1917 0.7500
0.0542 0.1742 0.6488
0.1166 0.6175 0.9405
0.1742 0.0542 0.1488
0.2722 0.4568 0.5320
0.3825 0.8834 0.5595
0.4568 0.2722 0.0320
0.5432 0.7278 0.9680
0.6175 0.1166 0.4405
0.7278 0.5432 0.4680
0.8258 0.9458 0.8512
0.8834 0.3825 0.0595
0.9458 0.8258 0.3512
```

Summary:
Formation energy from raw total energies = -1126.0 meV/atom
Volume = 449.7 Å³/cell
Size of the total moment = 0.00 μB per atom
DFT total energy = -5.117 eV/atom

---

[2]
A plane-wave DFT calculation with GGA-PBE was carried out for an optimized crystal structure of CaY2TlB.

Structure (POSCAR):
```
CaY2TlB
1.0
5.0551 0.0000 0.0000
0.0000 5.0551 0.0000
0.0000 0.0000 5.2671
Ca Y Tl B
1 2 1 1
Direct
0.0000 0.0000 0.0000
0.0000 0.5000 0.5000
0.5000 0.0000 0.5000
0.5000 0.5000 0.0000
0.0000 0.0000 0.5000
```

Summary:
Volume = 134.6 Å³/cell
Size of the total moment = 0.00 μB per atom
Formation enthalpy at 0 K = -112 meV/atom
DFT total energy = -4.906 eV/atom

---

> DFT total energy of number 1 (TbAl2GaS6)?

-5.117 eV/atom